Record 1
DFT (PBE) results for TlPdF3 after structural relaxation.

Properties
- Energy above the lowest structure with this stoichiometry: 72 meV per atom
- Total magnetization: 4.0 μB per cell
- Formation energy without anion corrections: -1.368 eV per atom
- N(E_F): 0.000 states/eV/atom

abc: 7.050 7.050 7.050
angles: 50.36 50.36 50.36
Element x y z (fractional)
Tl 0.134 0.134 0.134
Tl 0.866 0.866 0.866
Pd 0.335 0.335 0.335
Pd 0.665 0.665 0.665
F 0.060 0.434 0.696
F 0.304 0.940 0.566
F 0.434 0.696 0.060
F 0.566 0.304 0.940
F 0.696 0.060 0.434
F 0.940 0.566 0.304

Record 2
DFT (PBE) results for Ga3AuCl after structural relaxation.

Properties
- Energy above the lowest structure with this stoichiometry: 0 meV per atom
- Total magnetization: 0.0 μB per cell
- Formation energy without anion corrections: -0.199 eV per atom
- N(E_F): 0.270 states/eV/atom

abc: 5.073 5.073 5.073
angles: 90.00 90.00 90.00
Element x y z (fractional)
Ga 0.000 0.000 0.500
Ga 0.000 0.500 0.000
Ga 0.500 0.000 0.000
Au 0.000 0.000 0.000
Cl 0.500 0.500 0.500

Record 3
DFT (PBE) results for Tb2SmSe after structural relaxation.

Properties
- Energy above the lowest structure with this stoichiometry: 0 meV per atom
- Total magnetization: 0.6 μB per cell
- Formation energy without anion corrections: -0.812 eV per atom
- N(E_F): 0.812 states/eV/atom

abc: 9.774 9.774 9.774
angles: 22.53 22.53 22.53
Element x y z (fractional)
Tb 0.000 0.000 0.000
Tb 0.204 0.204 0.204
Sm 0.769 0.769 0.769
Se 0.602 0.602 0.602

Record 4
DFT (PBE) results for SrGeP2O8 after structural relaxation.

Properties
- Energy above the lowest structure with this stoichiometry: 129 meV per atom
- Total magnetization: 0.0 μB per cell
- Formation energy without anion corrections: -2.201 eV per atom
- N(E_F): 0.000 states/eV/atom

abc: 8.204 8.204 8.204
angles: 33.52 33.52 33.52
Element x y z (fractional)
Sr 0.000 0.000 0.000
Ge 0.500 0.500 0.500
P 0.241 0.241 0.241
P 0.759 0.759 0.759
O 0.113 0.496 0.731
O 0.269 0.504 0.887
O 0.307 0.307 0.307
O 0.496 0.731 0.113
O 0.504 0.887 0.269
O 0.693 0.693 0.693
O 0.731 0.113 0.496
O 0.887 0.269 0.504

Record 5
DFT (PBE) results for LaGe2Pd7 after structural relaxation.

Properties
- Total magnetization: 0.0 μB per cell
- Energy relative to the elements: -339 meV/atom
- N(E_F): 0.559 states/eV/atom

abc: 7.101 7.101 4.613
angles: 90.00 90.00 117.32
Element x y z (fractional)
La 0.000 0.000 0.000
Ge 0.302 0.698 0.500
Ge 0.698 0.302 0.500
Pd 0.063 0.314 0.500
Pd 0.236 0.764 0.000
Pd 0.314 0.063 0.500
Pd 0.500 0.500 0.500
Pd 0.686 0.937 0.500
Pd 0.764 0.236 0.000
Pd 0.937 0.686 0.500

Record 6
DFT (PBE) results for U3Tl4PbO12 after structural relaxation.

Properties
- Total magnetization: 0.0 μB per cell
- Formation energy without anion corrections: -2.239 eV per atom

abc: 7.671 7.671 7.671
angles: 109.47 109.47 109.47
Element x y z (fractional)
U 0.000 0.500 0.500
U 0.500 0.000 0.500
U 0.500 0.500 0.000
Tl 0.000 0.000 0.500
Tl 0.000 0.500 0.000
Tl 0.500 0.000 0.000
Tl 0.500 0.500 0.500
Pb 0.000 0.000 0.000
O 0.000 0.281 0.281
O 0.000 0.719 0.719
O 0.250 0.500 0.750
O 0.250 0.750 0.500
O 0.281 0.000 0.281
O 0.281 0.281 0.000
O 0.500 0.250 0.750
O 0.500 0.750 0.250
O 0.719 0.000 0.719
O 0.719 0.719 0.000
O 0.750 0.250 0.500
O 0.750 0.500 0.250

Record 7
DFT (PBE) results for PrGdAlZn after structural relaxation.

Properties
- Total magnetization: 7.5 μB per cell
- Energy relative to the elements: -336 meV/atom
- N(E_F): 0.970 states/eV/atom

abc: 5.224 5.224 5.224
angles: 60.00 60.00 60.00
Element x y z (fractional)
Pr 0.000 0.000 0.000
Gd 0.500 0.500 0.500
Al 0.250 0.250 0.250
Zn 0.750 0.750 0.750

Record 8
DFT (PBE) results for InFe2 after structural relaxation.

Properties
- Total magnetization: 9.1 μB per cell
- Energy relative to the elements: 165 meV/atom
- N(E_F): 0.678 states/eV/atom

abc: 5.013 5.013 5.013
angles: 60.00 60.00 60.00
Element x y z (fractional)
In 0.125 0.125 0.125
In 0.875 0.875 0.875
Fe 0.000 0.500 0.500
Fe 0.500 0.000 0.500
Fe 0.500 0.500 0.000
Fe 0.500 0.500 0.500

Record 9
DFT (PBE) results for CoSiNi2 after structural relaxation.

Properties
- Total magnetization: 0.9 μB per cell
- Formation energy without anion corrections: -0.284 eV per atom
- N(E_F): 1.134 states/eV/atom

abc: 4.586 4.586 4.181
angles: 113.02 113.02 32.78
Element x y z (fractional)
Co 0.000 0.000 0.000
Si 0.735 0.735 0.126
Ni 0.228 0.228 0.640
Ni 0.464 0.464 0.470

Record 10
DFT (PBE) results for Zr4Ir after structural relaxation.

Properties
- Energy above the lowest structure with this stoichiometry: 0 meV per atom
- Total magnetization: 0.0 μB per cell
- Energy relative to the elements: -368 meV/atom
- N(E_F): 1.260 states/eV/atom

abc: 5.809 5.809 5.809
angles: 94.88 94.88 146.10
Element x y z (fractional)
Zr 0.087 0.720 0.807
Zr 0.280 0.087 0.367
Zr 0.720 0.913 0.633
Zr 0.913 0.280 0.193
Ir 0.500 0.500 0.000